Computed, not measured: a geometry-optimized TiVTe2I structure at the PBE-GGA level of DFT.

Lattice parameters (Å, degrees): 5.310 5.310 5.614 90.00 90.00 90.00
Each line ends with the local moment (μB).
Sites, in units of the cell vectors:
Ti 0.000 0.000 0.000  0.74
V 0.500 0.500 0.500  3.16
Te 0.500 0.000 0.000  -0.14
Te 0.000 0.500 0.000  -0.14
I 0.000 0.000 0.500  -0.06

Summary:
Offset from the most stable computed form = 0.00 eV per formula unit
Magnetization = 4.30 Bohr magnetons per cell
Formation energy from raw total energies = 8.545 kcal/mol of atoms

***

Computed, not measured: a geometry-optimized MgTcIr2 structure at the PBE-GGA level of DFT.

Lattice parameters (Å, degrees): 4.859 4.859 4.727 79.55 79.55 33.25
Sites, in units of the cell vectors:
Tc 0.263 0.263 0.211
Ir 0.739 0.739 0.715
Ir 0.005 0.005 0.038
Mg 0.492 0.492 0.536

Summary:
Magnetization = 0.00 Bohr magnetons per cell
Uncorrected energy = -7.57 eV per atom

***

Computed, not measured: a geometry-optimized Cr2FeRh4 structure at the PBE-GGA level of DFT.

Lattice parameters (Å, degrees): 3.816 5.157 5.157 101.05 90.00 90.00
Each line ends with the local moment (μB).
Sites, in units of the cell vectors:
Rh 0.000 0.794 0.794  -0.29
Rh 0.000 0.206 0.206  -0.29
Rh 0.500 0.500 0.000  -0.32
Rh 0.500 0.000 0.500  -0.32
Fe 0.500 0.500 0.500  -2.56
Cr 0.000 0.284 0.716  2.12
Cr 0.000 0.716 0.284  2.12

Summary:
Offset from the most stable computed form = 0.32 eV per formula unit
Magnetization = 0.67 Bohr magnetons per cell

***

What is the magnetization in the third record? 0.67 Bohr magnetons per cell

***

What did the second record say?
Computed, not measured: a geometry-optimized MgTcIr2 structure at the PBE-GGA level of DFT.

Lattice parameters (Å, degrees): 4.859 4.859 4.727 79.55 79.55 33.25
Sites, in units of the cell vectors:
Tc 0.263 0.263 0.211
Ir 0.739 0.739 0.715
Ir 0.005 0.005 0.038
Mg 0.492 0.492 0.536

Summary:
Magnetization = 0.00 Bohr magnetons per cell
Uncorrected energy = -7.57 eV per atom

***

Which of these has the lowest magnetization? MgTcIr2

***

Which formula does entry 1 have? TiVTe2I